Li2TaPt: relaxed, PBE.

Properties
Calculated density: 10.50 g/cm3
DOS(E_F): 2.65 states/eV/cell
Formation enthalpy at 0 K: -0.053 eV/atom
Calculated total energy: -5.48 eV per atom
Space group: Pmmm (47)
Crystal system: orthorhombic

abc: 2.7583 4.2830 5.2178
angles: 90.00 90.00 90.00
Closest atoms and distances in Å follow each position.
Positions (direct):
1 Li 0.0000 0.0000 0.2275  1 Li 2.37
2 Li 0.0000 0.0000 0.7725  1 Li 2.37
3 Ta 0.5000 0.5000 0.5000  2 Pt 2.61, 2 Ta 2.76, 8 Li 2.92
4 Pt 0.5000 0.5000 0.0000  2 Ta 2.61, 2 Pt 2.76, 8 Li 2.81

InSn2S3: relaxed, PBE.

Properties
Calculated density: 5.10 g/cm3
DOS(E_F): 2.86 states/eV/cell
Calculated total energy: -4.24 eV per atom
Space group: Imm2 (44)
Crystal system: orthorhombic

abc: 5.7471 12.3235 4.1221
angles: 90.00 90.00 90.00
Closest atoms and distances in Å follow each position.
Positions (direct):
1 In 0.0000 0.0000 0.0000  6 S 2.87-2.90
2 In 0.5000 0.5000 0.5000  6 S 2.87-2.90
3 Sn 0.0000 0.3319 0.9994  6 S 2.87-2.93
4 Sn 0.0000 0.6681 0.9994  6 S 2.87-2.93
5 Sn 0.5000 0.1681 0.4994  6 S 2.87-2.93
6 Sn 0.5000 0.8319 0.4994  6 S 2.87-2.93
7 S 0.0000 0.1656 0.4988  4 Sn 2.87-2.91, 2 In 2.90
8 S 0.0000 0.5000 0.4986  2 In 2.87, 4 Sn 2.92-2.93
9 S 0.0000 0.8344 0.4988  4 Sn 2.87-2.91, 2 In 2.90
10 S 0.5000 0.0000 0.9986  2 In 2.87, 4 Sn 2.92-2.93
11 S 0.5000 0.3344 0.9988  4 Sn 2.87-2.91, 2 In 2.90
12 S 0.5000 0.6656 0.9988  4 Sn 2.87-2.91, 2 In 2.90

LaTmO3: relaxed, PBE.

Properties
Calculated density: 6.38 g/cm3
DOS(E_F): 0.00 states/eV/cell
Calculated total energy: -8.35 eV per atom
Space group: P2_1/m (11)
Crystal system: monoclinic

abc: 5.8299 3.9480 8.2546
angles: 90.00 102.83 90.00
Closest atoms and distances in Å follow each position.
Positions (direct):
1 La 0.2197 0.2500 0.3915  6 O 2.37-2.58
2 La 0.7803 0.7500 0.6085  6 O 2.37-2.58
3 Tm 0.4052 0.2500 0.8328  5 O 2.13-2.27
4 Tm 0.5948 0.7500 0.1672  5 O 2.13-2.27
5 O 0.0726 0.2500 0.6593  1 Tm 2.14
6 O 0.4326 0.2500 0.1115  3 Tm 2.19-2.27
7 O 0.4413 0.7500 0.3788  1 Tm 2.13, 2 La 2.37
8 O 0.5587 0.2500 0.6212  1 Tm 2.13, 2 La 2.37
9 O 0.5674 0.7500 0.8885  3 Tm 2.19-2.27
10 O 0.9274 0.7500 0.3407  1 Tm 2.14

PNF2: relaxed, PBE.

Properties
Calculated density: 2.16 g/cm3
DOS(E_F): 0.00 states/eV/cell
Calculated total energy: -6.13 eV per atom
Space group: Cmc2_1 (36)
Crystal system: orthorhombic

abc: 9.0583 5.6143 5.0112
angles: 90.00 90.00 90.00
Closest atoms and distances in Å follow each position.
Positions (direct):
1 P 0.0000 0.1330 0.0000  2 N 1.56, 2 F 1.57
2 P 0.0000 0.8670 0.5000  2 N 1.56, 2 F 1.57
3 P 0.5000 0.3670 0.5000  2 N 1.56, 2 F 1.57
4 P 0.5000 0.6330 0.0000  2 N 1.56, 2 F 1.57
5 N 0.0000 0.0842 0.3067  2 P 1.56
6 N 0.0000 0.9158 0.8067  2 P 1.56
7 N 0.5000 0.4158 0.8067  2 P 1.56
8 N 0.5000 0.5842 0.3067  2 P 1.56
9 F 0.1311 0.3062 0.9385  1 P 1.57
10 F 0.1311 0.6938 0.4385  1 P 1.57
11 F 0.3689 0.1938 0.4385  1 P 1.57
12 F 0.3689 0.8062 0.9385  1 P 1.57
13 F 0.6311 0.1938 0.4385  1 P 1.57
14 F 0.6311 0.8062 0.9385  1 P 1.57
15 F 0.8689 0.3062 0.9385  1 P 1.57
16 F 0.8689 0.6938 0.4385  1 P 1.57

Ga2TcRu: relaxed, PBE.

Properties
Calculated density: 9.59 g/cm3
DOS(E_F): 12.40 states/eV/cell
Formation enthalpy at 0 K: -0.116 eV/atom
Calculated total energy: -6.54 eV per atom
Space group: R3m (160)
Crystal system: trigonal

abc: 2.8895 2.8895 24.3270
angles: 90.00 90.00 120.00
Closest atoms and distances in Å follow each position.
Positions (direct):
1 Ga 0.0000 0.0000 0.0000  3 Ru 2.59, 3 Tc 2.64, 6 Ga 2.89
2 Ga 0.0000 0.0000 0.1696  3 Ru 2.61, 3 Tc 2.66, 6 Ga 2.89
3 Ga 0.3333 0.6667 0.6667  3 Ru 2.59, 3 Tc 2.64, 6 Ga 2.89
4 Ga 0.3333 0.6667 0.8363  3 Ru 2.61, 3 Tc 2.66, 6 Ga 2.89
5 Ga 0.6667 0.3333 0.3333  3 Ru 2.59, 3 Tc 2.64, 6 Ga 2.89
6 Ga 0.6667 0.3333 0.5030  3 Ru 2.61, 3 Tc 2.66, 6 Ga 2.89
7 Tc 0.0000 0.0000 0.7510  6 Ga 2.64-2.66, 6 Tc 2.89
8 Tc 0.3333 0.6667 0.4176  6 Ga 2.64-2.66, 6 Tc 2.89
9 Tc 0.6667 0.3333 0.0843  6 Ga 2.64-2.66, 6 Tc 2.89
10 Ru 0.0000 0.0000 0.5853  6 Ga 2.59-2.61, 6 Ru 2.89
11 Ru 0.3333 0.6667 0.2520  6 Ga 2.59-2.61, 6 Ru 2.89
12 Ru 0.6667 0.3333 0.9187  6 Ga 2.59-2.61, 6 Ru 2.89

H4Pd5Rh: relaxed, PBE.

Properties
Calculated density: 10.56 g/cm3
DOS(E_F): 10.45 states/eV/cell
Calculated total energy: -4.71 eV per atom
Space group: P-1 (2)
Crystal system: triclinic

abc: 2.8748 5.7435 6.4144
angles: 77.05 77.16 89.93
Closest atoms and distances in Å follow each position.
Positions (direct):
1 H 0.0065 0.2766 0.4887  2 Rh 1.94, 4 Pd 1.97-2.13
2 H 0.3384 0.3912 0.8221  5 Pd 1.93-2.16, 1 Rh 1.97
3 H 0.6616 0.6088 0.1779  5 Pd 1.93-2.16, 1 Rh 1.97
4 H 0.9935 0.7234 0.5113  2 Rh 1.94, 4 Pd 1.97-2.13
5 Pd 0.1682 0.3314 0.1660  4 H 1.97-2.16
6 Pd 0.1679 0.8364 0.1621  3 H 1.93-2.13
7 Pd 0.5000 0.0000 0.5000  4 H 2.13
8 Pd 0.8321 0.1636 0.8379  3 H 1.93-2.13
9 Pd 0.8318 0.6686 0.8340  4 H 1.97-2.16
10 Rh 0.5000 0.5000 0.5000  6 H 1.94-1.97

Ac2EuHg: relaxed, PBE.

Properties
Calculated density: 9.19 g/cm3
DOS(E_F): 4.04 states/eV/cell
Formation enthalpy at 0 K: -0.148 eV/atom
Calculated total energy: -4.85 eV per atom
Space group: P4/mmm (123)
Crystal system: tetragonal

abc: 5.8917 5.8917 4.1962
angles: 90.00 90.00 90.00
Closest atoms and distances in Å follow each position.
Positions (direct):
1 Ac 0.0000 0.5000 0.0000  4 Hg 3.62, 4 Eu 3.62
2 Ac 0.5000 0.0000 0.0000  4 Hg 3.62, 4 Eu 3.62
3 Eu 0.0000 0.0000 0.5000  8 Ac 3.62
4 Hg 0.5000 0.5000 0.5000  8 Ac 3.62

Ca5Cd4Rh: relaxed, PBE.

Properties
Calculated density: 4.73 g/cm3
DOS(E_F): 10.32 states/eV/cell
Formation enthalpy at 0 K: -0.336 eV/atom
Calculated total energy: -2.44 eV per atom
Space group: P4/mmm (123)
Crystal system: tetragonal

abc: 3.6450 3.6450 19.8932
angles: 90.00 90.00 90.00
Closest atoms and distances in Å follow each position.
Positions (direct):
1 Ca 0.0000 0.0000 0.0000  8 Cd 3.30, 4 Ca 3.64
2 Ca 0.0000 0.0000 0.2086  8 Cd 3.31-3.32, 4 Ca 3.64
3 Ca 0.0000 0.0000 0.4182  4 Rh 3.05, 1 Ca 3.26, 4 Cd 3.32
4 Ca 0.0000 0.0000 0.5818  4 Rh 3.05, 1 Ca 3.26, 4 Cd 3.32
5 Ca 0.0000 0.0000 0.7914  8 Cd 3.31-3.32, 4 Ca 3.64
6 Cd 0.5000 0.5000 0.1037  8 Ca 3.30-3.32, 4 Cd 3.64
7 Cd 0.5000 0.5000 0.3129  8 Ca 3.31-3.32, 4 Cd 3.64
8 Cd 0.5000 0.5000 0.6871  8 Ca 3.31-3.32, 4 Cd 3.64
9 Cd 0.5000 0.5000 0.8963  8 Ca 3.30-3.32, 4 Cd 3.64
10 Rh 0.5000 0.5000 0.5000  8 Ca 3.05

BaAcCuNi: relaxed, PBE.

Properties
Calculated density: 7.43 g/cm3
DOS(E_F): 15.55 states/eV/cell
Formation enthalpy at 0 K: 0.069 eV/atom
Calculated total energy: -3.91 eV per atom
Space group: F-43m (216)
Crystal system: cubic

abc: 7.5755 7.5755 7.5755
angles: 90.00 90.00 90.00
Closest atoms and distances in Å follow each position.
Positions (direct):
1 Ba 0.0000 0.0000 0.0000  4 Ni 3.28, 4 Cu 3.28
2 Ba 0.0000 0.5000 0.5000  4 Ni 3.28, 4 Cu 3.28
3 Ba 0.5000 0.0000 0.5000  4 Ni 3.28, 4 Cu 3.28
4 Ba 0.5000 0.5000 0.0000  4 Ni 3.28, 4 Cu 3.28
5 Ac 0.0000 0.0000 0.5000  4 Ni 3.28, 4 Cu 3.28
6 Ac 0.0000 0.5000 0.0000  4 Ni 3.28, 4 Cu 3.28
7 Ac 0.5000 0.0000 0.0000  4 Ni 3.28, 4 Cu 3.28
8 Ac 0.5000 0.5000 0.5000  4 Ni 3.28, 4 Cu 3.28
9 Cu 0.2500 0.2500 0.7500  4 Ba 3.28, 4 Ac 3.28
10 Cu 0.2500 0.7500 0.2500  4 Ba 3.28, 4 Ac 3.28
11 Cu 0.7500 0.2500 0.2500  4 Ba 3.28, 4 Ac 3.28
12 Cu 0.7500 0.7500 0.7500  4 Ba 3.28, 4 Ac 3.28
13 Ni 0.2500 0.2500 0.2500  4 Ba 3.28, 4 Ac 3.28
14 Ni 0.2500 0.7500 0.7500  4 Ba 3.28, 4 Ac 3.28
15 Ni 0.7500 0.2500 0.7500  4 Ba 3.28, 4 Ac 3.28
16 Ni 0.7500 0.7500 0.2500  4 Ba 3.28, 4 Ac 3.28

K2BaIn2Bi2: relaxed, PBE.

Properties
Calculated density: 5.18 g/cm3
DOS(E_F): 3.57 states/eV/cell
Formation enthalpy at 0 K: -0.356 eV/atom
Calculated total energy: -2.84 eV per atom
Space group: R-3m (166)
Crystal system: trigonal

abc: 10.5376 10.5376 10.5376
angles: 31.07 31.07 31.07
Closest atoms and distances in Å follow each position.
Positions (direct):
1 K 0.1342 0.1342 0.1342  4 Bi 3.78-3.88, 3 K 3.80, 3 In 3.86, 1 Ba 4.04
2 K 0.8658 0.8658 0.8658  4 Bi 3.78-3.88, 3 K 3.80, 3 In 3.86, 1 Ba 4.04
3 Ba 0.0000 0.0000 0.0000  6 In 3.81, 6 Bi 3.88, 2 K 4.04
4 In 0.3987 0.3987 0.3987  3 Bi 3.26
5 In 0.6013 0.6013 0.6013  3 Bi 3.26
6 Bi 0.2631 0.2631 0.2631  3 In 3.26
7 Bi 0.7369 0.7369 0.7369  3 In 3.26

Li2CuTc: relaxed, PBE.

Properties
Calculated density: 5.44 g/cm3
DOS(E_F): 2.02 states/eV/cell
Formation enthalpy at 0 K: 0.117 eV/atom
Calculated total energy: -4.46 eV per atom
Space group: P4/mmm (123)
Crystal system: tetragonal

abc: 2.5218 2.5218 8.4155
angles: 90.00 90.00 90.00
Closest atoms and distances in Å follow each position.
Positions (direct):
1 Li 0.0000 0.0000 0.2400  4 Li 2.52, 4 Cu 2.69, 4 Tc 2.82
2 Li 0.0000 0.0000 0.7600  4 Li 2.52, 4 Cu 2.69, 4 Tc 2.82
3 Cu 0.5000 0.5000 0.0000  4 Cu 2.52, 8 Li 2.69
4 Tc 0.5000 0.5000 0.5000  4 Tc 2.52, 8 Li 2.82

TbEr2NpP4: relaxed, PBE.

Properties
Calculated density: 7.98 g/cm3
DOS(E_F): 10.07 states/eV/cell
Formation enthalpy at 0 K: -1.418 eV/atom
Calculated total energy: -7.46 eV per atom
Space group: P2/m (10)
Crystal system: monoclinic

abc: 6.8814 3.9722 6.8898
angles: 90.00 109.34 90.00
Closest atoms and distances in Å follow each position.
Positions (direct):
1 Tb 0.0000 0.0000 0.0000  6 P 2.82-2.83
2 Er 0.5000 0.0000 0.5000  6 P 2.79-2.80
3 Er 0.5000 0.5000 0.0000  6 P 2.83
4 Np 0.0000 0.5000 0.5000  6 P 2.78-2.80
5 P 0.2490 0.0000 0.7464  3 Er 2.79-2.83, 2 Np 2.80, 1 Tb 2.82
6 P 0.2503 0.5000 0.2548  1 Np 2.78, 3 Er 2.80-2.83, 2 Tb 2.83
7 P 0.7497 0.5000 0.7452  1 Np 2.78, 3 Er 2.80-2.83, 2 Tb 2.83
8 P 0.7510 0.0000 0.2536  3 Er 2.79-2.83, 2 Np 2.80, 1 Tb 2.82